A geometry-optimized CdIn2Tc structure. Source: the Alexandria database, functional PBE.

Lattice parameters (Å, degrees): 7.7887 7.7887 6.2445 51.42 51.42 90.00
With the nearest neighbours (Å) after each atom.
Element x y z (fractional)
Tc: 0.2500 0.7500 0.5000  4 In 2.73, 2 Cd 2.94
Tc: 0.5000 0.5000 0.0000  4 In 2.73, 2 Cd 2.94
Cd: 0.7500 0.2500 0.5000  2 Tc 2.94, 4 In 2.98
In: 0.6017 0.1250 0.2500  2 Tc 2.73, 2 In 2.97, 2 Cd 2.98
In: 0.1483 0.6250 0.2500  2 Tc 2.73, 2 In 2.97, 2 Cd 2.98
In: 0.3750 0.3983 0.7500  2 Tc 2.73, 2 In 2.97, 2 Cd 2.98
In: 0.8750 0.8517 0.7500  2 Tc 2.73, 2 In 2.97, 2 Cd 2.98
Cd: 0.0000 0.0000 0.0000  2 Tc 2.94, 4 In 2.98

Summary:
SG: I-42d, No. 122
Energy of formation from the pure elements (eV per atom): 0.604
M_tot (Bohr magnetons per cell): 2.0
VASP energy (eV per atom): -3.59



A geometry-optimized LaZrInHg structure. Source: the Alexandria database, functional PBE.

Lattice parameters (Å, degrees): 5.2959 5.2959 5.2959 60.00 60.00 60.00
With the nearest neighbours (Å) after each atom.
Element x y z (fractional)
In: 0.2500 0.2500 0.2500  4 Zr 3.24, 4 La 3.24
Hg: 0.7500 0.7500 0.7500  4 Zr 3.24, 4 La 3.24
La: 0.0000 0.0000 0.0000  4 In 3.24, 4 Hg 3.24
Zr: 0.5000 0.5000 0.5000  4 Hg 3.24, 4 In 3.24

Summary:
SG: F-43m, No. 216
Energy of formation from the pure elements (eV per atom): -0.240
M_tot (Bohr magnetons per cell): 0.0
VASP energy (eV per atom): -4.37